# Tl2CuRe (GGA-PBE, optimized geometry)
data_Tl2CuRe
_chemical_formula_sum 'Tl4 Cu2 Re2'
_symmetry_space_group_name_H-M 'I m m 2'
_symmetry_Int_Tables_number 44
_symmetry_space_group_name_Hall 'I 2 -2'
_cell_length_a 2.914
_cell_length_b 4.792
_cell_length_c 12.192
_cell_angle_alpha 90.00
_cell_angle_beta 90.00
_cell_angle_gamma 90.00
loop_
_atom_site_label
_atom_site_type_symbol
_atom_site_fract_x
_atom_site_fract_y
_atom_site_fract_z
_atom_site_occupancy
Tl1 Tl 0.000 0.000 0.000 1
Tl2 Tl 0.000 0.500 0.219 1
Cu1 Cu 0.000 0.500 0.827 1
Re1 Re 0.000 0.000 0.504 1
# ΔE_f in kcal/mol of atoms: 18.10
# DFT total energy in eV per atom: -4.53
# Polymorph energy (0 for the lowest one) in eV per atom: 0.0859